Record 1
LaTb3 after structural relaxation, computed with GGA-PBE.

Summary:
SG = C2/m (12)
crystal system = monoclinic
calculated formation energy = 0.02 eV/atom

Structure (extended XYZ):
```
4
Lattice="5.983 -1.806 0.000 5.983 1.806 0.000 -1.085 0.000 6.137" Properties=species:S:1:pos:R:3 pbc="T T T"
La 0.000 0.000 0.000
Tb 2.170 0.000 4.596
Tb 5.441 0.000 3.068
Tb 8.711 0.000 1.541
```

Record 2
RbCuAs after structural relaxation, computed with GGA-PBE.

Summary:
SG = P2_1/m (11)
crystal system = monoclinic
calculated formation energy = -0.08 eV/atom

Structure (extended XYZ):
```
6
Lattice="5.311 0.000 0.000 0.000 5.038 0.000 -2.654 0.000 7.820" Properties=species:S:1:pos:R:3 pbc="T T T"
Rb -0.001 1.259 2.279
Rb 2.658 3.778 5.542
Cu 2.655 0.000 0.000
Cu 2.655 2.519 0.000
As 0.002 1.259 5.895
As 2.654 3.778 1.925
```

Record 3
Y2GaHgCl after structural relaxation, computed with GGA-PBE.

Summary:
ΔE_f (raw) = 0.33 eV per atom
SG = P4/mmm (123)
crystal system = tetragonal

Structure (extended XYZ):
```
5
Lattice="5.659 0.000 0.000 0.000 5.659 0.000 0.000 0.000 5.646" Properties=species:S:1:pos:R:3 pbc="T T T"
Y 0.000 2.829 0.000
Y 2.829 0.000 0.000
Ga 0.000 0.000 2.823
Hg 2.829 2.829 0.000
Cl 2.829 2.829 2.823
```

Record 4
MgTc2W after structural relaxation, computed with GGA-PBE.

Summary:
SG = R-3m (166)
crystal system = trigonal
calculated formation energy = 0.23 eV/atom

Structure (extended XYZ):
```
4
Lattice="1.420 0.820 9.120 -1.420 0.820 9.120 0.000 -1.639 9.120" Properties=species:S:1:pos:R:3 pbc="T T T"
Mg 0.000 0.000 0.000
Tc 0.000 0.000 6.735
Tc 0.000 0.000 20.625
W 0.000 0.000 13.680
```

Record 5
CaSmDy2 after structural relaxation, computed with GGA-PBE.

Summary:
SG = P4/mmm (123)
crystal system = tetragonal
calculated formation energy = 0.07 eV/atom

Structure (extended XYZ):
```
4
Lattice="3.640 0.000 0.000 0.000 3.640 0.000 0.000 0.000 10.364" Properties=species:S:1:pos:R:3 pbc="T T T"
Ca 0.000 0.000 0.000
Sm 0.000 0.000 5.182
Dy 1.820 1.820 2.773
Dy 1.820 1.820 7.591
```

Record 6
Dy2NiP3Rh12 after structural relaxation, computed with GGA-PBE.

Summary:
SG = R-3m (166)
crystal system = trigonal
calculated formation energy = -0.22 eV/atom

Structure (extended XYZ):
```
18
Lattice="4.389 2.534 4.324 -4.389 2.534 4.324 0.000 -5.068 4.324" Properties=species:S:1:pos:R:3 pbc="T T T"
Dy 0.000 0.000 1.614
Dy 0.000 0.000 11.359
Ni 0.000 0.000 6.487
P -2.195 -1.267 4.324
P -2.195 1.267 8.649
P 0.000 2.534 4.324
Rh 0.000 -2.322 3.708
Rh -2.011 1.161 3.708
Rh -2.195 -1.267 6.552
Rh 0.000 -2.534 6.421
Rh -2.195 1.267 6.421
Rh -2.011 -1.161 9.265
Rh 2.011 1.161 3.708
Rh 2.195 -1.267 6.552
Rh 0.000 2.534 6.552
Rh 2.195 1.267 6.421
Rh 2.011 -1.161 9.265
Rh 0.000 2.322 9.265
```

Record 7
RbNd2NpO8 after structural relaxation, computed with GGA-PBE.

Summary:
ΔE_f (raw) = -2.57 eV per atom
SG = P2/m (10)
crystal system = monoclinic

Structure (extended XYZ):
```
12
Lattice="4.115 0.000 0.000 0.000 8.334 0.000 -0.626 0.000 5.414" Properties=species:S:1:pos:R:3 pbc="T T T"
Rb 0.000 0.000 0.000
Nd 1.745 2.313 2.707
Nd 1.745 6.021 2.707
Np 0.000 4.167 0.000
O -0.314 2.589 4.135
O -0.314 5.744 4.135
O 1.340 0.000 3.346
O 1.700 4.167 1.218
O 1.789 4.167 4.195
O 2.149 0.000 2.068
O 3.803 2.589 1.279
O 3.803 5.744 1.279
```

Record 8
Cr2FeCo after structural relaxation, computed with GGA-PBE.

Summary:
SG = Pmm2 (25)
crystal system = orthorhombic
calculated formation energy = 0.15 eV/atom

Structure (extended XYZ):
```
4
Lattice="2.492 0.000 0.000 0.000 3.494 0.000 0.000 0.000 5.107" Properties=species:S:1:pos:R:3 pbc="T T T"
Cr 0.000 0.000 0.000
Cr 1.246 1.747 1.415
Fe 0.000 0.000 2.636
Co 1.246 1.747 3.927
```

Record 9
Ta3AsSe after structural relaxation, computed with GGA-PBE.

Summary:
ΔE_f (raw) = 1.08 eV per atom
SG = Pm-3m (221)
crystal system = cubic

Structure (extended XYZ):
```
5
Lattice="4.733 0.000 0.000 0.000 4.733 0.000 0.000 0.000 4.733" Properties=species:S:1:pos:R:3 pbc="T T T"
Ta 0.000 0.000 2.367
Ta 0.000 2.367 0.000
Ta 2.367 0.000 0.000
As 2.367 2.367 2.367
Se 0.000 0.000 0.000
```

Record 10
La2TlSn3Pd4 after structural relaxation, computed with GGA-PBE.

Summary:
SG = P-4m2 (115)
crystal system = tetragonal
calculated formation energy = -0.73 eV/atom

Structure (extended XYZ):
```
10
Lattice="4.619 0.000 0.000 0.000 4.619 0.000 0.000 0.000 10.961" Properties=species:S:1:pos:R:3 pbc="T T T"
La 0.000 2.310 2.661
La 2.310 0.000 8.300
Tl 0.000 0.000 5.481
Sn 0.000 2.310 9.606
Sn 2.310 0.000 1.355
Sn 2.310 2.310 5.481
Pd 0.000 0.000 0.000
Pd 0.000 2.310 7.006
Pd 2.310 0.000 3.955
Pd 2.310 2.310 0.000
```

Record 11
Sr2LiAuN after structural relaxation, computed with GGA-PBE.

Summary:
ΔE_f (raw) = -0.56 eV per atom
SG = P4/mmm (123)
crystal system = tetragonal

Structure (extended XYZ):
```
5
Lattice="5.291 0.000 0.000 0.000 5.291 0.000 0.000 0.000 4.081" Properties=species:S:1:pos:R:3 pbc="T T T"
Sr 0.000 2.646 0.000
Sr 2.646 0.000 0.000
Li 0.000 0.000 2.041
Au 2.646 2.646 2.041
N 0.000 0.000 0.000
```

Record 12
SbSe2Cl after structural relaxation, computed with GGA-PBE.

Summary:
ΔE_f (raw) = 0.13 eV per atom
SG = C2/m (12)
crystal system = monoclinic

Structure (extended XYZ):
```
4
Lattice="2.643 -5.906 0.000 2.643 5.906 0.000 -0.434 0.000 3.065" Properties=species:S:1:pos:R:3 pbc="T T T"
Sb 0.000 0.000 0.000
Se 1.105 2.953 1.532
Se 1.105 -2.953 1.532
Cl 2.643 0.000 0.000
```

Record 13
YS3Br after structural relaxation, computed with GGA-PBE.

Summary:
ΔE_f (raw) = 0.00 eV per atom
SG = Pm-3m (221)
crystal system = cubic

Structure (extended XYZ):
```
5
Lattice="4.835 0.000 0.000 0.000 4.835 0.000 0.000 0.000 4.835" Properties=species:S:1:pos:R:3 pbc="T T T"
Y 0.000 0.000 0.000
S 0.000 2.417 2.417
S 2.417 0.000 2.417
S 2.417 2.417 0.000
Br 2.417 2.417 2.417
```

Record 14
Ba2TlI5 after structural relaxation, computed with GGA-PBE.

Summary:
ΔE_f (raw) = -1.47 eV per atom
SG = Pnma (62)
crystal system = orthorhombic

Structure (extended XYZ):
```
32
Lattice="15.295 0.000 0.000 0.000 10.142 0.000 0.000 0.000 9.235" Properties=species:S:1:pos:R:3 pbc="T T T"
Ba 2.726 10.142 0.197
Ba 2.726 5.072 0.197
Ba 4.922 0.001 4.814
Ba 4.922 5.070 4.814
Ba 10.373 10.142 4.421
Ba 10.373 5.072 4.421
Ba 12.569 0.001 9.038
Ba 12.569 5.070 9.038
Tl 0.075 2.536 5.142
Tl 7.572 7.607 0.524
Tl 7.723 2.536 8.711
Tl 15.219 7.607 4.094
I 0.012 2.536 8.996
I 1.694 5.384 6.138
I 1.694 9.830 6.138
I 2.843 2.536 2.959
I 3.261 7.607 2.792
I 4.386 2.536 7.409
I 4.805 7.607 7.576
I 5.953 0.312 1.520
I 5.953 4.759 1.520
I 7.636 7.607 4.378
I 7.659 2.536 4.857
I 9.341 5.384 7.715
I 9.341 9.830 7.715
I 10.490 2.536 1.659
I 10.908 7.607 1.826
I 12.034 2.536 6.443
I 12.452 7.607 6.276
I 13.601 0.312 3.097
I 13.601 4.759 3.097
I 15.283 7.607 0.239
```

Record 15
WSN after structural relaxation, computed with GGA-PBE.

Summary:
ΔE_f (raw) = -0.21 eV per atom
SG = Pnma (62)
crystal system = orthorhombic

Structure (extended XYZ):
```
12
Lattice="9.898 0.000 0.000 0.000 3.301 0.000 0.000 0.000 6.026" Properties=species:S:1:pos:R:3 pbc="T T T"
W 0.973 0.825 0.569
W 3.976 2.475 3.582
W 5.922 0.825 2.443
W 8.925 2.475 5.456
S 2.353 0.825 2.652
S 2.596 2.475 5.665
S 7.302 0.825 0.361
S 7.545 2.475 3.374
N 0.157 2.475 1.235
N 4.792 0.825 4.248
N 5.106 2.475 1.777
N 9.741 0.825 4.790
```

Record 16
InCo2Ru after structural relaxation, computed with GGA-PBE.

Summary:
SG = R-3m (166)
crystal system = trigonal
calculated formation energy = 0.41 eV/atom

Structure (extended XYZ):
```
4
Lattice="1.394 0.805 8.484 -1.394 0.805 8.484 0.000 -1.609 8.484" Properties=species:S:1:pos:R:3 pbc="T T T"
In 0.000 0.000 0.000
Co 0.000 0.000 6.236
Co 0.000 0.000 19.217
Ru 0.000 0.000 12.727
```

Record 17
Mg2CSe after structural relaxation, computed with GGA-PBE.

Summary:
ΔE_f (raw) = 0.26 eV per atom
SG = I-42d (122)
crystal system = tetragonal

Structure (extended XYZ):
```
8
Lattice="-3.361 3.361 2.993 3.361 -3.361 2.993 3.361 3.361 -2.993" Properties=species:S:1:pos:R:3 pbc="T T T"
Mg 5.042 1.174 -0.748
Mg 1.174 1.681 0.748
Mg -1.681 2.187 2.245
Mg 2.187 1.681 3.741
C 0.000 0.000 0.000
C 0.000 3.361 1.496
Se 3.361 0.000 1.496
Se 0.000 0.000 2.993
```

Record 18
Ti2AgSn after structural relaxation, computed with GGA-PBE.

Summary:
SG = I-42d (122)
crystal system = tetragonal
calculated formation energy = 0.22 eV/atom

Structure (extended XYZ):
```
8
Lattice="-3.759 3.759 2.805 3.759 -3.759 2.805 3.759 3.759 -2.805" Properties=species:S:1:pos:R:3 pbc="T T T"
Ti 1.880 1.794 -0.701
Ti 1.966 -1.880 3.506
Ti 1.880 1.966 2.104
Ti 1.794 5.639 0.701
Ag 0.000 0.000 0.000
Ag 0.000 3.759 1.402
Sn 3.759 0.000 1.402
Sn 0.000 0.000 2.805
```

Record 19
PrTh2FeN5 after structural relaxation, computed with GGA-PBE.

Summary:
ΔE_f (raw) = -1.11 eV per atom
SG = I4/mcm (140)
crystal system = tetragonal

Structure (extended XYZ):
```
18
Lattice="-3.380 3.380 5.673 3.380 -3.380 5.673 3.380 3.380 -5.673" Properties=species:S:1:pos:R:3 pbc="T T T"
Pr 0.000 0.000 2.837
Pr 0.000 0.000 8.510
Th 4.574 1.194 0.000
Th 1.194 2.186 0.000
Th 2.186 1.194 5.673
Th -1.194 2.186 5.673
Fe 3.380 0.000 2.837
Fe 0.000 3.380 2.837
N 0.000 0.000 0.000
N 4.325 -0.945 1.609
N 2.435 -0.945 4.065
N 2.435 0.945 1.609
N 4.325 0.945 4.065
N 0.000 0.000 5.673
N -0.945 2.435 1.609
N 0.945 2.435 4.065
N 0.945 4.325 1.609
N -0.945 4.325 4.065
```

Record 20
Ce4SiTe2S after structural relaxation, computed with GGA-PBE.

Summary:
ΔE_f (raw) = -1.35 eV per atom
SG = P2/m (10)
crystal system = monoclinic

Structure (extended XYZ):
```
8
Lattice="7.328 0.000 0.000 0.000 4.259 0.000 -2.475 0.000 7.225" Properties=species:S:1:pos:R:3 pbc="T T T"
Ce 1.198 0.000 1.565
Ce -0.042 2.130 5.637
Ce 4.895 2.130 1.587
Ce 3.654 0.000 5.659
Si 3.664 0.000 0.000
Te -1.238 0.000 3.612
Te 2.426 2.130 3.612
S 0.000 2.130 0.000
```

Record 21
NaNi4Ge2 after structural relaxation, computed with GGA-PBE.

Summary:
SG = P4_2/mnm (136)
crystal system = tetragonal
calculated formation energy = -0.23 eV/atom

Structure (extended XYZ):
```
14
Lattice="7.170 0.000 0.000 0.000 7.170 0.000 0.000 0.000 3.788" Properties=species:S:1:pos:R:3 pbc="T T T"
Na 0.000 0.000 0.000
Na 3.585 3.585 1.894
Ni 0.647 2.519 1.894
Ni 1.066 4.232 0.000
Ni 2.519 0.647 1.894
Ni 2.938 6.104 0.000
Ni 4.232 1.066 0.000
Ni 4.651 6.523 1.894
Ni 6.104 2.938 0.000
Ni 6.523 4.651 1.894
Ge 1.610 5.560 1.894
Ge 1.975 1.975 0.000
Ge 5.195 5.195 0.000
Ge 5.560 1.610 1.894
```

Record 22
IrSCl3 after structural relaxation, computed with GGA-PBE.

Summary:
ΔE_f (raw) = -0.40 eV per atom
SG = P2/c (13)
crystal system = monoclinic

Structure (extended XYZ):
```
20
Lattice="7.505 0.000 0.000 0.000 7.974 0.000 -0.879 0.000 12.455" Properties=species:S:1:pos:R:3 pbc="T T T"
Ir 0.376 0.946 1.498
Ir -0.063 7.028 7.725
Ir 6.690 0.946 4.730
Ir 6.250 7.028 10.957
S 0.104 3.009 2.180
S -0.336 4.964 8.408
S 6.962 3.009 4.047
S 6.523 4.964 10.275
Cl 0.125 1.346 6.878
Cl 0.565 6.628 0.650
Cl 1.262 0.333 3.614
Cl 0.822 7.640 9.842
Cl 2.473 1.364 0.591
Cl 2.034 6.610 6.818
Cl 4.592 1.364 5.637
Cl 4.153 6.610 11.864
Cl 5.804 0.333 2.613
Cl 5.365 7.640 8.841
Cl 6.062 1.346 11.805
Cl 6.501 6.628 5.577
```